# ScMoRh2F, relaxed, DFT GGA+U
data_ScMoRh2F
_chemical_formula_sum 'Sc1 Mo1 Rh2 F1'
_cell_length_a 4.6074
_cell_length_b 4.6074
_cell_length_c 5.3544
_cell_angle_alpha 90.00
_cell_angle_beta 90.00
_cell_angle_gamma 90.00
_space_group_name_H-M_alt 'P 4/m m m'
_space_group_IT_number 123
_space_group_name_Hall '-P 4 2'
loop_
_atom_site_label
_atom_site_type_symbol
_atom_site_fract_x
_atom_site_fract_y
_atom_site_fract_z
Sc1 Sc 0.0000 0.0000 0.0000
Mo1 Mo 0.0000 0.0000 0.5000
Rh1 Rh 0.0000 0.5000 0.5000
F1 F 0.5000 0.5000 0.0000
# E: -5.16 eV per atom
# M_tot: 0.00 μB per formula unit
# N(E_F): 0.827 states/eV per atom